No. 1
Entry from Alexandria via LeMat-Bulk: Pm3In2Pd2 after structural relaxation (PBE).

Results
- symmetry = Cmmm
- DFT formation energy (eV per atom) = -0.69

Lattice parameters (Å, degrees): 4.0922 22.9441 3.8044 90.00 90.00 90.00
Positions (direct):
Pm: 0.0000 0.0000 0.0000
Pm: 0.0000 0.1696 0.0000
Pm: 0.0000 0.8304 0.0000
Pm: 0.5000 0.3304 0.0000
Pm: 0.5000 0.5000 0.0000
Pm: 0.5000 0.6696 0.0000
In: 0.0000 0.4168 0.5000
In: 0.0000 0.5832 0.5000
In: 0.5000 0.0832 0.5000
In: 0.5000 0.9168 0.5000
Pd: 0.0000 0.2901 0.5000
Pd: 0.0000 0.7099 0.5000
Pd: 0.5000 0.2099 0.5000
Pd: 0.5000 0.7901 0.5000

---

No. 2
Entry from Alexandria via LeMat-Bulk: CaSbAs2Br after structural relaxation (PBE).

Results
- symmetry = P4/mmm
- formation energy from raw total energies (eV per formula unit) = -0.22
- energy above the lowest structure with this stoichiometry (eV per formula unit) = 0.00

Lattice parameters (Å, degrees): 5.2859 5.2859 5.6148 90.00 90.00 90.00
Positions (direct):
Ca: 0.0000 0.0000 0.0000
Sb: 0.5000 0.5000 0.5000
As: 0.0000 0.5000 0.5000
As: 0.5000 0.0000 0.5000
Br: 0.5000 0.5000 0.0000

---

No. 3
Entry from Alexandria via LeMat-Bulk: KMgMn2Br8 after structural relaxation (PBE).

Results
- symmetry = P-3
- formation energy from raw total energies (eV per formula unit) = -12.12

Lattice parameters (Å, degrees): 6.8914 6.8914 9.5059 90.00 90.00 120.00
Positions (direct):
K: 0.0000 0.0000 0.0000
Mg: 0.0000 0.0000 0.5000
Mn: 0.3333 0.6667 0.7340
Mn: 0.6667 0.3333 0.2660
Br: 0.0051 0.6875 0.3307
Br: 0.3125 0.3176 0.3307
Br: 0.3176 0.0051 0.6693
Br: 0.3333 0.6667 0.9851
Br: 0.6667 0.3333 0.0149
Br: 0.6824 0.9949 0.3307
Br: 0.6875 0.6824 0.6693
Br: 0.9949 0.3125 0.6693

---

No. 4
Entry from Alexandria via LeMat-Bulk: K2NaCdBi2 after structural relaxation (PBE).

Results
- symmetry = Ibam
- DFT formation energy (eV per atom) = -0.32

Lattice parameters (Å, degrees): 9.9999 9.9999 9.9999 138.08 60.66 138.24
Positions (direct):
K: 0.1720 0.2434 0.4154
K: 0.3280 0.7434 0.0715
K: 0.6720 0.2566 0.9285
K: 0.8280 0.7566 0.5846
Na: 0.2500 0.2500 0.0000
Na: 0.7500 0.7500 0.0000
Cd: 0.2500 0.7500 0.5000
Cd: 0.7500 0.2500 0.5000
Bi: 0.1090 0.7270 0.8360
Bi: 0.3910 0.2270 0.6180
Bi: 0.6090 0.7730 0.3820
Bi: 0.8910 0.2730 0.1640

---

No. 5
Entry from Alexandria via LeMat-Bulk: ScP2Rh3 after structural relaxation (PBE).

Results
- symmetry = C2/m
- DFT formation energy (eV per atom) = -0.98

Lattice parameters (Å, degrees): 8.0735 8.0735 9.4907 107.43 107.43 27.25
Positions (direct):
Sc: 0.0000 0.0000 0.0000
Sc: 0.1521 0.1521 0.6862
Sc: 0.8479 0.8479 0.3138
P: 0.1954 0.1954 0.1305
P: 0.3627 0.3627 0.5472
P: 0.4553 0.4553 0.2202
P: 0.5447 0.5447 0.7798
P: 0.6373 0.6373 0.4528
P: 0.8046 0.8046 0.8695
Rh: 0.0353 0.0353 0.3179
Rh: 0.2215 0.2215 0.3903
Rh: 0.3202 0.3202 0.0488
Rh: 0.3802 0.3802 0.8033
Rh: 0.5000 0.5000 0.5000
Rh: 0.6198 0.6198 0.1967
Rh: 0.6798 0.6798 0.9512
Rh: 0.7785 0.7785 0.6097
Rh: 0.9647 0.9647 0.6821

---

No. 6
Entry from Alexandria via LeMat-Bulk: LiHg2I4 after structural relaxation (PBE).

Results
- symmetry = I4/mmm
- formation energy from raw total energies (eV per formula unit) = -2.62
- energy above the lowest structure with this stoichiometry (eV per formula unit) = 0.48

Lattice parameters (Å, degrees): 6.1107 6.1107 14.2650 90.00 90.00 90.00
Positions (direct):
Li: 0.0000 0.0000 0.0000
Li: 0.5000 0.5000 0.5000
Hg: 0.0000 0.0000 0.4034
Hg: 0.0000 0.0000 0.5966
Hg: 0.5000 0.5000 0.0966
Hg: 0.5000 0.5000 0.9034
I: 0.0000 0.0000 0.2152
I: 0.0000 0.0000 0.7848
I: 0.0000 0.5000 0.0000
I: 0.0000 0.5000 0.5000
I: 0.5000 0.0000 0.0000
I: 0.5000 0.0000 0.5000
I: 0.5000 0.5000 0.2848
I: 0.5000 0.5000 0.7152

---

No. 7
Entry from Alexandria via LeMat-Bulk: BeH2I after structural relaxation (PBE).

Results
- symmetry = Fm-3m
- energy above the lowest structure with this stoichiometry (eV per formula unit) = 3.24

Lattice parameters (Å, degrees): 5.6569 5.6569 5.6569 90.00 90.00 90.00
Positions (direct):
Be: 0.0000 0.0000 0.0000
Be: 0.0000 0.5000 0.5000
Be: 0.5000 0.0000 0.5000
Be: 0.5000 0.5000 0.0000
H: 0.2500 0.2500 0.2500
H: 0.2500 0.2500 0.7500
H: 0.2500 0.7500 0.2500
H: 0.2500 0.7500 0.7500
H: 0.7500 0.2500 0.2500
H: 0.7500 0.2500 0.7500
H: 0.7500 0.7500 0.2500
H: 0.7500 0.7500 0.7500
I: 0.0000 0.0000 0.5000
I: 0.0000 0.5000 0.0000
I: 0.5000 0.0000 0.0000
I: 0.5000 0.5000 0.5000

---

No. 8
Entry from Alexandria via LeMat-Bulk: Si2TcAu after structural relaxation (PBE).

Results
- symmetry = I-4m2
- formation energy from raw total energies (eV per formula unit) = 0.59
- energy above the lowest structure with this stoichiometry (eV per formula unit) = 1.24

Lattice parameters (Å, degrees): 3.6887 3.6887 8.6535 90.00 90.00 90.00
Positions (direct):
Si: 0.0000 0.0000 0.0000
Si: 0.0000 0.5000 0.2500
Si: 0.5000 0.0000 0.7500
Si: 0.5000 0.5000 0.5000
Tc: 0.0000 0.5000 0.7500
Tc: 0.5000 0.0000 0.2500
Au: 0.0000 0.0000 0.5000
Au: 0.5000 0.5000 0.0000

---

No. 9
Entry from Alexandria via LeMat-Bulk: CaIn3Pb2 after structural relaxation (PBE).

Results
- symmetry = Cmmm
- DFT formation energy (eV per atom) = -0.15

Lattice parameters (Å, degrees): 4.9513 14.1951 4.9216 90.00 90.00 90.00
Positions (direct):
Ca: 0.0000 0.0000 0.0000
Ca: 0.5000 0.5000 0.0000
In: 0.0000 0.1670 0.5000
In: 0.0000 0.5000 0.5000
In: 0.0000 0.8330 0.5000
In: 0.5000 0.0000 0.5000
In: 0.5000 0.3330 0.5000
In: 0.5000 0.6670 0.5000
Pb: 0.0000 0.3334 0.0000
Pb: 0.0000 0.6666 0.0000
Pb: 0.5000 0.1666 0.0000
Pb: 0.5000 0.8334 0.0000

---

No. 10
Entry from Alexandria via LeMat-Bulk: Pr3Sm2Dy6Er after structural relaxation (PBE).

Results
- symmetry = C2/m
- DFT formation energy (eV per atom) = 0.02

Lattice parameters (Å, degrees): 6.2376 6.2376 11.8719 95.01 95.01 119.99
Positions (direct):
Pr: 0.0000 0.0000 0.0000
Pr: 0.3333 0.6667 0.0000
Pr: 0.6667 0.3333 0.0000
Sm: 0.1665 0.8335 0.5000
Sm: 0.8335 0.1665 0.5000
Dy: 0.0849 0.4177 0.2531
Dy: 0.2497 0.2497 0.7471
Dy: 0.4177 0.0849 0.2531
Dy: 0.5823 0.9151 0.7469
Dy: 0.7503 0.7503 0.2529
Dy: 0.9151 0.5823 0.7469
Er: 0.5000 0.5000 0.5000

---

No. 11
Entry from Alexandria via LeMat-Bulk: Nb5Te4 after structural relaxation (PBE).

Results
- symmetry = I4/m
- formation energy from raw total energies (eV per formula unit) = -3.43

Lattice parameters (Å, degrees): 7.5947 7.5947 7.5947 93.36 93.36 151.99
Positions (direct):
Nb: 0.0000 0.0000 0.0000
Nb: 0.3109 0.3798 0.6907
Nb: 0.3798 0.6891 0.0689
Nb: 0.6202 0.3109 0.9311
Nb: 0.6891 0.6202 0.3093
Te: 0.0602 0.2855 0.3457
Te: 0.2855 0.9398 0.2253
Te: 0.7145 0.0602 0.7747
Te: 0.9398 0.7145 0.6543

---

No. 12
Entry from Alexandria via LeMat-Bulk: PrScHgAu after structural relaxation (PBE).

Results
- symmetry = F-43m
- DFT formation energy (eV per atom) = -0.54

Lattice parameters (Å, degrees): 7.3075 7.3075 7.3075 90.00 90.00 90.00
Positions (direct):
Pr: 0.0000 0.0000 0.0000
Pr: 0.0000 0.5000 0.5000
Pr: 0.5000 0.0000 0.5000
Pr: 0.5000 0.5000 0.0000
Sc: 0.0000 0.0000 0.5000
Sc: 0.0000 0.5000 0.0000
Sc: 0.5000 0.0000 0.0000
Sc: 0.5000 0.5000 0.5000
Hg: 0.2500 0.2500 0.7500
Hg: 0.2500 0.7500 0.2500
Hg: 0.7500 0.2500 0.2500
Hg: 0.7500 0.7500 0.7500
Au: 0.2500 0.2500 0.2500
Au: 0.2500 0.7500 0.7500
Au: 0.7500 0.2500 0.7500
Au: 0.7500 0.7500 0.2500

---

No. 13
Entry from Alexandria via LeMat-Bulk: Ti3CoAg after structural relaxation (PBE).

Results
- symmetry = Pm-3m
- energy above the lowest structure with this stoichiometry (eV per formula unit) = 0.00
- DFT formation energy (eV per atom) = 0.29

Lattice parameters (Å, degrees): 4.5018 4.5018 4.5018 90.00 90.00 90.00
Positions (direct):
Ti: 0.0000 0.0000 0.5000
Ti: 0.0000 0.5000 0.0000
Ti: 0.5000 0.0000 0.0000
Co: 0.0000 0.0000 0.0000
Ag: 0.5000 0.5000 0.5000

---

No. 14
Entry from Alexandria via LeMat-Bulk: HfZrBr2 after structural relaxation (PBE).

Results
- symmetry = R-3m
- formation energy from raw total energies (eV per formula unit) = -1.66
- energy above the lowest structure with this stoichiometry (eV per formula unit) = 2.21

Lattice parameters (Å, degrees): 3.3315 3.3315 28.6381 90.00 90.00 120.00
Positions (direct):
Hf: 0.0000 0.0000 0.0000
Hf: 0.3333 0.6667 0.6667
Hf: 0.6667 0.3333 0.3333
Zr: 0.0000 0.0000 0.5000
Zr: 0.3333 0.6667 0.1667
Zr: 0.6667 0.3333 0.8333
Br: 0.0000 0.0000 0.0959
Br: 0.0000 0.0000 0.9041
Br: 0.3333 0.6667 0.5707
Br: 0.3333 0.6667 0.7626
Br: 0.6667 0.3333 0.2374
Br: 0.6667 0.3333 0.4293

---

No. 15
Entry from Alexandria via LeMat-Bulk: GdErIrRu after structural relaxation (PBE).

Results
- symmetry = F-43m
- DFT formation energy (eV per atom) = -0.59

Lattice parameters (Å, degrees): 6.8259 6.8259 6.8259 90.00 90.00 90.00
Positions (direct):
Gd: 0.0000 0.0000 0.0000
Gd: 0.0000 0.5000 0.5000
Gd: 0.5000 0.0000 0.5000
Gd: 0.5000 0.5000 0.0000
Er: 0.0000 0.0000 0.5000
Er: 0.0000 0.5000 0.0000
Er: 0.5000 0.0000 0.0000
Er: 0.5000 0.5000 0.5000
Ir: 0.2500 0.2500 0.2500
Ir: 0.2500 0.7500 0.7500
Ir: 0.7500 0.2500 0.7500
Ir: 0.7500 0.7500 0.2500
Ru: 0.2500 0.2500 0.7500
Ru: 0.2500 0.7500 0.2500
Ru: 0.7500 0.2500 0.2500
Ru: 0.7500 0.7500 0.7500

---

No. 16
Entry from Alexandria via LeMat-Bulk: NaAlRu2Br after structural relaxation (PBE).

Results
- symmetry = P4/mmm
- formation energy from raw total energies (eV per formula unit) = 5.41

Lattice parameters (Å, degrees): 4.6448 4.6448 4.8075 90.00 90.00 90.00
Positions (direct):
Na: 0.0000 0.0000 0.0000
Al: 0.5000 0.5000 0.0000
Ru: 0.0000 0.5000 0.5000
Ru: 0.5000 0.0000 0.5000
Br: 0.0000 0.0000 0.5000

---

No. 17
Entry from Alexandria via LeMat-Bulk: SrSnSbMo2 after structural relaxation (PBE).

Results
- symmetry = P4/mmm
- formation energy from raw total energies (eV per formula unit) = 11.85

Lattice parameters (Å, degrees): 5.0407 5.0407 5.6758 90.00 90.00 90.00
Positions (direct):
Sr: 0.0000 0.0000 0.0000
Sn: 0.0000 0.0000 0.5000
Sb: 0.5000 0.5000 0.5000
Mo: 0.0000 0.5000 0.0000
Mo: 0.5000 0.0000 0.0000

---

No. 18
Entry from Alexandria via LeMat-Bulk: LaPm2NdEr4 after structural relaxation (PBE).

Results
- symmetry = C2/m
- DFT formation energy (eV per atom) = 0.02

Lattice parameters (Å, degrees): 7.2010 7.2010 12.3565 106.92 106.92 60.04
Positions (direct):
La: 0.0000 0.5000 0.0000
La: 0.5000 0.0000 0.0000
Pm: 0.0000 0.0000 0.0000
Pm: 0.0000 0.0000 0.5000
Pm: 0.0000 0.5000 0.5000
Pm: 0.5000 0.0000 0.5000
Nd: 0.5000 0.5000 0.0000
Nd: 0.5000 0.5000 0.5000
Er: 0.2490 0.7496 0.7487
Er: 0.2504 0.2504 0.2518
Er: 0.2496 0.2496 0.7482
Er: 0.2504 0.7510 0.2513
Er: 0.7496 0.2490 0.7487
Er: 0.7504 0.7504 0.2518
Er: 0.7496 0.7496 0.7482
Er: 0.7510 0.2504 0.2513

---

No. 19
Entry from Alexandria via LeMat-Bulk: KPb12Au6 after structural relaxation (PBE).

Results
- symmetry = R-3m
- DFT formation energy (eV per atom) = -0.07

Lattice parameters (Å, degrees): 8.7098 8.7098 8.7098 105.35 105.35 105.35
Positions (direct):
K: 0.0000 0.0000 0.0000
Pb: 0.1255 0.5000 0.8745
Pb: 0.1255 0.8745 0.5000
Pb: 0.1801 0.4391 0.4391
Pb: 0.4391 0.1801 0.4391
Pb: 0.4391 0.4391 0.1801
Pb: 0.5000 0.1255 0.8745
Pb: 0.5000 0.8745 0.1255
Pb: 0.5609 0.5609 0.8199
Pb: 0.5609 0.8199 0.5609
Pb: 0.8199 0.5609 0.5609
Pb: 0.8745 0.1255 0.5000
Pb: 0.8745 0.5000 0.1255
Au: 0.2489 0.2489 0.7020
Au: 0.2489 0.7020 0.2489
Au: 0.2980 0.7511 0.7511
Au: 0.7020 0.2489 0.2489
Au: 0.7511 0.2980 0.7511
Au: 0.7511 0.7511 0.2980

---

No. 20
Entry from Alexandria via LeMat-Bulk: CuW5 after structural relaxation (PBE).

Results
- symmetry = P6/mmm
- energy above the lowest structure with this stoichiometry (eV per formula unit) = 3.00
- DFT formation energy (eV per atom) = 0.87

Lattice parameters (Å, degrees): 5.2967 5.2967 4.4959 90.00 90.00 120.00
Positions (direct):
Cu: 0.0000 0.0000 0.0000
W: 0.0000 0.5000 0.5000
W: 0.3333 0.6667 0.0000
W: 0.5000 0.0000 0.5000
W: 0.5000 0.5000 0.5000
W: 0.6667 0.3333 0.0000